No. 1
The following is a DFT calculation (PBE) of a geometry-optimized CsLaBAu structure.

abc: 7.2581 7.2581 7.2581
angles: 90.00 90.00 90.00
Last column: nearest neighbours and their distance in Å.
Space group F-43m (No. 216)
Symmetry-distinct sites (fractional):
Cs1 0.0000 0.0000 0.0000  4 Au 3.14, 4 La 3.14
La1 0.2500 0.2500 0.7500  4 B 3.14, 4 Cs 3.14
B1 0.0000 0.0000 0.5000  4 La 3.14, 4 Au 3.14
Au1 0.2500 0.2500 0.2500  4 B 3.14, 4 Cs 3.14

## Properties
V in Å³/f.u.: 95.6
Offset from the most stable computed form in eV/atom: 0.106



No. 2
The following is a DFT calculation (PBE) of a geometry-optimized Si4IrPd3 structure.

abc: 4.2739 3.3305 8.0779
angles: 90.00 92.31 90.00
Last column: nearest neighbours and their distance in Å.
Space group Pm (No. 6)
Symmetry-distinct sites (fractional):
Si1 0.0000 0.0000 0.0000  4 Pd 2.41-2.48
Si2 0.0061 0.0000 0.5007  2 Ir 2.39-2.42, 2 Pd 2.47
Si3 0.5163 0.5000 0.4252  2 Ir 2.39, 2 Pd 2.43-2.48
Si4 0.5237 0.5000 0.9132  4 Pd 2.39-2.49
Ir1 0.5121 0.0000 0.6372  4 Si 2.39-2.42
Pd1 0.0114 0.5000 0.2753  4 Si 2.43-2.48
Pd2 0.0193 0.5000 0.7737  4 Si 2.39-2.48
Pd3 0.5053 0.0000 0.1424  4 Si 2.41-2.49

## Properties
V in Å³/f.u.: 114.9
Electronic total energy in eV per atom: -6.171



No. 3
The following is a DFT calculation (PBE) of a geometry-optimized NdTmCd2Ag4 structure.

abc: 4.9781 4.9781 7.0405
angles: 90.00 90.00 90.00
Last column: nearest neighbours and their distance in Å.
Space group P4/mmm (No. 123)
Symmetry-distinct sites (fractional):
Nd1 0.0000 0.0000 0.0000  8 Ag 3.10
Tm1 0.5000 0.5000 0.5000  8 Ag 3.00
Cd1 0.0000 0.0000 0.5000  8 Ag 3.00
Cd2 0.5000 0.5000 0.0000  8 Ag 3.10
Ag1 0.0000 0.5000 0.2633  2 Tm 3.00, 4 Cd 3.00-3.10, 2 Nd 3.10, 1 Ag 3.33

## Properties
ΔE_f in eV/atom: -0.28
V in Å³/f.u.: 174.5



No. 4
The following is a DFT calculation (PBE) of a geometry-optimized GdTm3Zr2Te2Os structure.

abc: 3.8422 14.3061 7.9703
angles: 90.00 90.00 90.00
Last column: nearest neighbours and their distance in Å.
Space group Amm2 (No. 38)
Symmetry-distinct sites (fractional):
Gd1 0.0000 0.0000 0.0000  1 Os 3.15, 4 Te 3.23, 6 Tm 3.44
Tm1 0.5000 0.0000 0.6422  2 Os 2.75
Tm2 0.5000 0.1230 0.2822  2 Os 2.76, 1 Te 3.07
Zr1 0.0000 0.1997 0.5985  4 Te 3.08-3.11, 1 Os 3.29, 2 Tm 3.35
Te1 0.5000 0.1719 0.8965  3 Tm 3.07-3.19, 4 Zr 3.08-3.11, 2 Gd 3.23
Os1 0.0000 0.0000 0.3949  6 Tm 2.75-2.76

## Properties
V in Å³/f.u.: 219.0
Electronic total energy in eV per atom: -6.434



No. 5
The following is a DFT calculation (PBE) of a geometry-optimized Rb2AsPdBr6 structure.

abc: 10.7263 10.7263 10.7263
angles: 90.00 90.00 90.00
Last column: nearest neighbours and their distance in Å.
Space group Fm-3m (No. 225)
Symmetry-distinct sites (fractional):
Rb1 0.2500 0.2500 0.2500  12 Br 3.79
As1 0.0000 0.0000 0.0000  6 Br 2.69
Pd1 0.0000 0.0000 0.5000  6 Br 2.67
Br1 0.0000 0.0000 0.2509  1 Pd 2.67, 1 As 2.69

## Properties
V in Å³/f.u.: 308.5
Electronic total energy in eV per atom: -3.072



No. 6
The following is a DFT calculation (PBE) of a geometry-optimized Nd2InGePd4 structure.

abc: 4.5694 4.5694 9.2616
angles: 90.00 90.00 120.00
Last column: nearest neighbours and their distance in Å.
Space group P-3m1 (No. 164)
Symmetry-distinct sites (fractional):
Nd1 0.3333 0.6667 0.2556  8 Pd 3.00-3.14
In1 0.0000 0.0000 0.0000  6 Pd 2.75
Ge1 0.0000 0.0000 0.5000  6 Pd 2.74
Pd1 0.3333 0.6667 0.5792  3 Ge 2.74, 4 Nd 3.00-3.05, 3 Pd 3.02
Pd2 0.3333 0.6667 0.9167  3 In 2.75, 3 Pd 3.06

## Properties
V in Å³/f.u.: 167.5
Electronic total energy in eV per atom: -5.469